Compound: Na2VZnO4
Source: the Alexandria database
Functional: GGA+U
Structure: optimized geometry

Properties
Final energy ... -5.644 eV/atom
Calculated density ... 3.39 g/cm3

Cell: 5.2759 5.2759 7.9547 Å, 90.00 90.00 90.00°
Space group I-4 (No. 82)
One atom of each set of equivalent atoms:
Na (0.0000, 0.0000, 0.0000) (multiplicity 2)
Na (0.0000, 0.5000, 0.2500) (multiplicity 2)
V (0.0000, 0.5000, 0.7500) (multiplicity 2)
Zn (0.0000, 0.0000, 0.5000) (multiplicity 2)
O (0.1818, 0.7392, 0.6341) (multiplicity 8)